1:
# AlCu3Pd6 PBE optimized geometry
# V = 285.4 Å³/cell
# Density of states at the Fermi level = 0.433 states/eV per atom
data_AlCu3Pd6
_chemical_formula_sum 'Al2 Cu6 Pd12'
_symmetry_space_group_name_H-M 'P 1'
_symmetry_Int_Tables_number 1
_cell_length_a 4.339
_cell_length_b 7.449
_cell_length_c 9.182
_cell_angle_alpha 105.90
_cell_angle_beta 90.00
_cell_angle_gamma 90.00
loop_
_symmetry_equiv_pos_as_xyz
'x,y,z'
loop_
_atom_site_label
_atom_site_type_symbol
_atom_site_fract_x
_atom_site_fract_y
_atom_site_fract_z
_atom_site_occupancy
Cu1 Cu 0.750 0.457 0.606 1
Cu2 Cu 0.250 0.543 0.394 1
Cu3 Cu 0.750 0.642 0.199 1
Cu4 Cu 0.750 0.245 0.010 1
Cu5 Cu 0.250 0.755 0.990 1
Cu6 Cu 0.250 0.358 0.801 1
Pd1 Pd 0.750 0.936 0.107 1
Pd2 Pd 0.250 0.064 0.893 1
Pd3 Pd 0.750 0.359 0.313 1
Pd4 Pd 0.250 0.240 0.507 1
Pd5 Pd 0.250 0.641 0.687 1
Pd6 Pd 0.250 0.850 0.309 1
Pd7 Pd 0.750 0.150 0.691 1
Pd8 Pd 0.750 0.760 0.493 1
Pd9 Pd 0.750 0.846 0.802 1
Pd10 Pd 0.750 0.539 0.904 1
Pd11 Pd 0.250 0.461 0.096 1
Pd12 Pd 0.250 0.154 0.198 1
Al1 Al 0.750 0.058 0.391 1
Al2 Al 0.250 0.942 0.609 1

=====

2:
# AlCu3Pd6 PBE optimized geometry
# V = 298.5 Å³/cell
# Density of states at the Fermi level = 0.368 states/eV per atom
data_AlCu3Pd6
_chemical_formula_sum 'Al2 Cu6 Pd12'
_symmetry_space_group_name_H-M 'P 1'
_symmetry_Int_Tables_number 1
_cell_length_a 4.161
_cell_length_b 9.822
_cell_length_c 9.822
_cell_angle_alpha 131.95
_cell_angle_beta 90.00
_cell_angle_gamma 90.00
loop_
_symmetry_equiv_pos_as_xyz
'x,y,z'
loop_
_atom_site_label
_atom_site_type_symbol
_atom_site_fract_x
_atom_site_fract_y
_atom_site_fract_z
_atom_site_occupancy
Al1 Al 0.098 0.234 0.766 1
Al2 Al 0.598 0.766 0.234 1
Pd1 Pd 0.099 0.730 0.606 1
Pd2 Pd 0.598 0.307 0.693 1
Pd3 Pd 0.098 0.587 0.964 1
Pd4 Pd 0.599 0.270 0.394 1
Pd5 Pd 0.098 0.036 0.413 1
Pd6 Pd 0.598 0.964 0.587 1
Pd7 Pd 0.598 0.413 0.036 1
Pd8 Pd 0.599 0.606 0.730 1
Pd9 Pd 0.099 0.394 0.270 1
Pd10 Pd 0.099 0.101 0.899 1
Pd11 Pd 0.098 0.693 0.307 1
Pd12 Pd 0.599 0.899 0.101 1
Cu1 Cu 0.599 0.196 0.100 1
Cu2 Cu 0.599 0.595 0.405 1
Cu3 Cu 0.099 0.405 0.595 1
Cu4 Cu 0.599 0.900 0.804 1
Cu5 Cu 0.099 0.804 0.900 1
Cu6 Cu 0.099 0.100 0.196 1

=====

Energetically preferred structure: 1 | next structure: +123 meV/atom

=====

1:
# Al2CuPd4 PBE optimized geometry
# V = 210.8 Å³/cell
# Density of states at the Fermi level = 0.384 states/eV per atom
data_Al2CuPd4
_chemical_formula_sum 'Al4 Cu2 Pd8'
_symmetry_space_group_name_H-M 'P 1'
_symmetry_Int_Tables_number 1
_cell_length_a 6.529
_cell_length_b 5.384
_cell_length_c 6.816
_cell_angle_alpha 90.00
_cell_angle_beta 118.39
_cell_angle_gamma 90.00
loop_
_symmetry_equiv_pos_as_xyz
'x,y,z'
loop_
_atom_site_label
_atom_site_type_symbol
_atom_site_fract_x
_atom_site_fract_y
_atom_site_fract_z
_atom_site_occupancy
Pd1 Pd 0.562 0.004 0.238 1
Pd2 Pd 0.106 0.750 0.933 1
Pd3 Pd 0.562 0.496 0.238 1
Pd4 Pd 0.894 0.250 0.067 1
Pd5 Pd 0.438 0.504 0.762 1
Pd6 Pd 0.006 0.250 0.509 1
Pd7 Pd 0.438 0.996 0.762 1
Pd8 Pd 0.994 0.750 0.491 1
Al1 Al 0.308 0.250 0.385 1
Al2 Al 0.795 0.750 0.070 1
Al3 Al 0.205 0.250 0.930 1
Al4 Al 0.692 0.750 0.615 1
Cu1 Cu 0.278 0.750 0.349 1
Cu2 Cu 0.722 0.250 0.651 1

=====

2:
# Al2CuPd4 PBE optimized geometry
# V = 129.1 Å³/cell
# Density of states at the Fermi level = 0.317 states/eV per atom
data_Al2CuPd4
_chemical_formula_sum 'Al2 Cu1 Pd4'
_symmetry_space_group_name_H-M 'P 1'
_symmetry_Int_Tables_number 1
_cell_length_a 4.554
_cell_length_b 4.554
_cell_length_c 7.009
_cell_angle_alpha 71.04
_cell_angle_beta 71.04
_cell_angle_gamma 90.00
loop_
_symmetry_equiv_pos_as_xyz
'x,y,z'
loop_
_atom_site_label
_atom_site_type_symbol
_atom_site_fract_x
_atom_site_fract_y
_atom_site_fract_z
_atom_site_occupancy
Pd1 Pd 0.500 0.000 0.000 1
Pd2 Pd 0.200 0.200 0.601 1
Pd3 Pd 0.000 0.500 0.000 1
Pd4 Pd 0.800 0.800 0.399 1
Al1 Al 0.388 0.388 0.223 1
Al2 Al 0.612 0.612 0.777 1
Cu1 Cu 0.000 0.000 0.000 1

=====

3:
# Al2CuPd4 PBE optimized geometry
# V = 108.0 Å³/cell
# Density of states at the Fermi level = 0.369 states/eV per atom
data_Al2CuPd4
_chemical_formula_sum 'Al2 Cu1 Pd4'
_symmetry_space_group_name_H-M 'P 1'
_symmetry_Int_Tables_number 1
_cell_length_a 5.225
_cell_length_b 5.225
_cell_length_c 5.225
_cell_angle_alpha 100.85
_cell_angle_beta 113.95
_cell_angle_gamma 113.95
loop_
_symmetry_equiv_pos_as_xyz
'x,y,z'
loop_
_atom_site_label
_atom_site_type_symbol
_atom_site_fract_x
_atom_site_fract_y
_atom_site_fract_z
_atom_site_occupancy
Al1 Al 0.500 0.000 0.500 1
Al2 Al 0.500 0.500 0.000 1
Pd1 Pd 0.500 0.000 0.000 1
Pd2 Pd 0.500 0.500 0.500 1
Pd3 Pd 0.000 0.000 0.500 1
Pd4 Pd 0.000 0.500 0.000 1
Cu1 Cu 0.000 0.000 0.000 1

=====

Energetically preferred structure: 3 | next structure: +76 meV/atom

=====

1:
# Al2CuPd3 PBE optimized geometry
# V = 85.5 Å³/cell
# Density of states at the Fermi level = 0.483 states/eV per atom
data_Al2CuPd3
_chemical_formula_sum 'Al2 Cu1 Pd3'
_symmetry_space_group_name_H-M 'P 1'
_symmetry_Int_Tables_number 1
_cell_length_a 3.029
_cell_length_b 3.029
_cell_length_c 9.321
_cell_angle_alpha 90.00
_cell_angle_beta 90.00
_cell_angle_gamma 90.00
loop_
_symmetry_equiv_pos_as_xyz
'x,y,z'
loop_
_atom_site_label
_atom_site_type_symbol
_atom_site_fract_x
_atom_site_fract_y
_atom_site_fract_z
_atom_site_occupancy
Pd1 Pd 0.000 0.000 0.000 1
Pd2 Pd 0.000 0.000 0.328 1
Pd3 Pd 0.000 0.000 0.672 1
Al1 Al 0.500 0.500 0.173 1
Al2 Al 0.500 0.500 0.827 1
Cu1 Cu 0.500 0.500 0.500 1

=====

2:
# Al2CuPd3 PBE optimized geometry
# V = 178.0 Å³/cell
# Density of states at the Fermi level = 0.285 states/eV per atom
data_Al2CuPd3
_chemical_formula_sum 'Al4 Cu2 Pd6'
_symmetry_space_group_name_H-M 'P 1'
_symmetry_Int_Tables_number 1
_cell_length_a 5.141
_cell_length_b 5.201
_cell_length_c 7.593
_cell_angle_alpha 110.03
_cell_angle_beta 109.79
_cell_angle_gamma 90.00
loop_
_symmetry_equiv_pos_as_xyz
'x,y,z'
loop_
_atom_site_label
_atom_site_type_symbol
_atom_site_fract_x
_atom_site_fract_y
_atom_site_fract_z
_atom_site_occupancy
Al1 Al 0.139 0.365 0.730 1
Al2 Al 0.590 0.865 0.730 1
Al3 Al 0.410 0.135 0.270 1
Al4 Al 0.861 0.635 0.270 1
Cu1 Cu 0.000 0.250 0.000 1
Cu2 Cu 0.000 0.750 0.000 1
Pd1 Pd 0.500 0.250 0.000 1
Pd2 Pd 0.034 0.822 0.643 1
Pd3 Pd 0.390 0.678 0.357 1
Pd4 Pd 0.610 0.322 0.643 1
Pd5 Pd 0.500 0.750 0.000 1
Pd6 Pd 0.966 0.178 0.357 1

=====

Energetically preferred structure: 1 | next structure: +48 meV/atom

=====

1:
# AlCuPd6 PBE optimized geometry
# V = 118.6 Å³/cell
# Density of states at the Fermi level = 1.266 states/eV per atom
data_AlCuPd6
_chemical_formula_sum 'Al1 Cu1 Pd6'
_symmetry_space_group_name_H-M 'P 1'
_symmetry_Int_Tables_number 1
_cell_length_a 3.859
_cell_length_b 5.543
_cell_length_c 5.543
_cell_angle_alpha 90.03
_cell_angle_beta 90.00
_cell_angle_gamma 90.00
loop_
_symmetry_equiv_pos_as_xyz
'x,y,z'
loop_
_atom_site_label
_atom_site_type_symbol
_atom_site_fract_x
_atom_site_fract_y
_atom_site_fract_z
_atom_site_occupancy
Pd1 Pd 0.000 0.248 0.752 1
Pd2 Pd 0.000 0.752 0.752 1
Pd3 Pd 0.000 0.752 0.248 1
Pd4 Pd 0.500 0.500 0.000 1
Pd5 Pd 0.000 0.248 0.248 1
Pd6 Pd 0.500 0.000 0.500 1
Al1 Al 0.500 0.000 0.000 1
Cu1 Cu 0.500 0.500 0.500 1

=====

2:
# AlCuPd6 PBE optimized geometry
# V = 124.5 Å³/cell
# Density of states at the Fermi level = 0.971 states/eV per atom
data_AlCuPd6
_chemical_formula_sum 'Al1 Cu1 Pd6'
_symmetry_space_group_name_H-M 'P 1'
_symmetry_Int_Tables_number 1
_cell_length_a 6.964
_cell_length_b 6.942
_cell_length_c 5.204
_cell_angle_alpha 41.90
_cell_angle_beta 47.81
_cell_angle_gamma 59.35
loop_
_symmetry_equiv_pos_as_xyz
'x,y,z'
loop_
_atom_site_label
_atom_site_type_symbol
_atom_site_fract_x
_atom_site_fract_y
_atom_site_fract_z
_atom_site_occupancy
Cu1 Cu 0.000 0.000 0.000 1
Pd1 Pd 0.038 0.507 0.207 1
Pd2 Pd 0.569 0.746 0.603 1
Pd3 Pd 0.431 0.254 0.397 1
Pd4 Pd 0.249 0.006 0.274 1
Pd5 Pd 0.962 0.493 0.793 1
Pd6 Pd 0.751 0.994 0.726 1
Al1 Al 0.500 0.500 0.500 1

=====

Energetically preferred structure: 1 | next structure: +117 meV/atom

=====

1:
# PmAlCuPd PBE optimized geometry
# V = 74.9 Å³/cell
# Density of states at the Fermi level = 1.002 states/eV per atom
data_PmAlCuPd
_chemical_formula_sum 'Pm1 Al1 Cu1 Pd1'
_symmetry_space_group_name_H-M 'P 1'
_symmetry_Int_Tables_number 1
_cell_length_a 4.732
_cell_length_b 4.732
_cell_length_c 4.732
_cell_angle_alpha 60.00
_cell_angle_beta 60.00
_cell_angle_gamma 60.00
loop_
_symmetry_equiv_pos_as_xyz
'x,y,z'
loop_
_atom_site_label
_atom_site_type_symbol
_atom_site_fract_x
_atom_site_fract_y
_atom_site_fract_z
_atom_site_occupancy
Al1 Al 0.250 0.250 0.250 1
Pd1 Pd 0.000 0.000 0.000 1
Pm1 Pm 0.750 0.750 0.750 1
Cu1 Cu 0.500 0.500 0.500 1

=====

2:
# PmAlCuPd PBE optimized geometry
# V = 78.7 Å³/cell
# Density of states at the Fermi level = 0.662 states/eV per atom
data_PmAlCuPd
_chemical_formula_sum 'Pm1 Al1 Cu1 Pd1'
_symmetry_space_group_name_H-M 'P 1'
_symmetry_Int_Tables_number 1
_cell_length_a 4.377
_cell_length_b 4.384
_cell_length_c 5.365
_cell_angle_alpha 114.12
_cell_angle_beta 90.00
_cell_angle_gamma 119.95
loop_
_symmetry_equiv_pos_as_xyz
'x,y,z'
loop_
_atom_site_label
_atom_site_type_symbol
_atom_site_fract_x
_atom_site_fract_y
_atom_site_fract_z
_atom_site_occupancy
Pd1 Pd 0.822 0.645 0.109 1
Al1 Al 0.117 0.235 0.994 1
Pm1 Pm 0.616 0.232 0.490 1
Cu1 Cu 0.411 0.821 0.874 1

=====

Energetically preferred structure: 2 | next structure: +114 meV/atom

=====

1:
# PmAl2Cu PBE optimized geometry
# V = 75.1 Å³/cell
# Density of states at the Fermi level = 0.552 states/eV per atom
data_PmAl2Cu
_chemical_formula_sum 'Pm1 Al2 Cu1'
_symmetry_space_group_name_H-M 'P 1'
_symmetry_Int_Tables_number 1
_cell_length_a 3.187
_cell_length_b 3.187
_cell_length_c 7.398
_cell_angle_alpha 90.00
_cell_angle_beta 90.00
_cell_angle_gamma 90.00
loop_
_symmetry_equiv_pos_as_xyz
'x,y,z'
loop_
_atom_site_label
_atom_site_type_symbol
_atom_site_fract_x
_atom_site_fract_y
_atom_site_fract_z
_atom_site_occupancy
Al1 Al 0.000 0.000 0.189 1
Al2 Al 0.000 0.000 0.811 1
Cu1 Cu 0.500 0.500 0.000 1
Pm1 Pm 0.500 0.500 0.500 1

=====

2:
# PmAl2Cu PBE optimized geometry
# V = 82.1 Å³/cell
# Density of states at the Fermi level = 0.600 states/eV per atom
data_PmAl2Cu
_chemical_formula_sum 'Pm1 Al2 Cu1'
_symmetry_space_group_name_H-M 'P 1'
_symmetry_Int_Tables_number 1
_cell_length_a 4.181
_cell_length_b 4.181
_cell_length_c 5.935
_cell_angle_alpha 69.38
_cell_angle_beta 69.38
_cell_angle_gamma 60.00
loop_
_symmetry_equiv_pos_as_xyz
'x,y,z'
loop_
_atom_site_label
_atom_site_type_symbol
_atom_site_fract_x
_atom_site_fract_y
_atom_site_fract_z
_atom_site_occupancy
Pm1 Pm 0.000 0.000 0.000 1
Al1 Al 0.208 0.208 0.376 1
Al2 Al 0.792 0.792 0.624 1
Cu1 Cu 0.500 0.500 0.500 1

=====

Energetically preferred structure: 2 | next structure: +137 meV/atom